Computed, not measured: crystalline Sn4TeSe2S at its relaxed geometry at the PBE level of DFT.

Results
The space group is P2/m. The energy relative to the elements, uncorrected is -0.363 eV per atom.

Lattice parameters (Å, degrees): 4.3059 7.4717 7.4630 70.56 90.00 90.00
Fractional positions:
Sn1 0.0000 0.7488 0.7619
Sn2 0.0000 0.2512 0.2381
Sn3 0.5000 0.7566 0.2347
Sn4 0.5000 0.2434 0.7653
Te1 0.0000 0.5000 0.5000
Se1 0.0000 0.0000 0.0000
Se2 0.5000 0.0000 0.5000
S1 0.5000 0.5000 0.0000

Computed, not measured: crystalline Tl2Sn2Se2S at its relaxed geometry at the PBE level of DFT.

Results
The space group is P-1. The energy relative to the elements, uncorrected is -0.322 eV per atom.

Lattice parameters (Å, degrees): 4.2275 7.7133 8.0098 63.56 90.19 73.98
Fractional positions:
Tl1 0.5397 0.9203 0.7709
Tl2 0.4603 0.0797 0.2291
Sn1 0.7842 0.4349 0.7404
Sn2 0.2158 0.5651 0.2596
Se1 0.8544 0.2911 0.4826
Se2 0.1456 0.7089 0.5174
S1 0.0000 0.0000 0.0000

Computed, not measured: crystalline Tl2SnSeS at its relaxed geometry at the PBE level of DFT.

Results
The space group is P2_1/m. The energy relative to the elements, uncorrected is -0.399 eV per atom.

Lattice parameters (Å, degrees): 4.2155 9.0211 9.3483 111.88 90.00 90.00
Fractional positions:
Tl1 0.7500 0.7431 0.6459
Tl2 0.7500 0.8926 0.1525
Tl3 0.2500 0.2569 0.3541
Tl4 0.2500 0.1074 0.8475
Sn1 0.2500 0.4890 0.8562
Sn2 0.7500 0.5110 0.1438
Se1 0.2500 0.5973 0.3510
Se2 0.7500 0.4027 0.6490
S1 0.2500 0.7867 0.9165
S2 0.7500 0.2133 0.0835

Computed, not measured: crystalline Tl2Sn2SeS2 at its relaxed geometry at the PBE level of DFT.

Results
The space group is P-1. The energy relative to the elements, uncorrected is -0.337 eV per atom.

Lattice parameters (Å, degrees): 4.1645 7.6554 8.1668 63.79 89.74 74.38
Fractional positions:
Tl1 0.5345 0.9327 0.7543
Tl2 0.4655 0.0673 0.2457
Sn1 0.7692 0.4576 0.7196
Sn2 0.2308 0.5424 0.2804
Se1 0.0000 0.0000 0.0000
S1 0.8480 0.3030 0.4915
S2 0.1520 0.6970 0.5085

Computed, not measured: crystalline Tm4SnSeS2 at its relaxed geometry at the PBE level of DFT.

Results
The space group is I4/mmm. The energy relative to the elements, uncorrected is -1.512 eV per atom.

Lattice parameters (Å, degrees): 5.7133 5.7133 6.9940 114.11 114.11 90.00
Fractional positions:
Tm1 0.9372 0.4373 0.0000
Tm2 0.4373 0.9372 0.0000
Tm3 0.1907 0.1907 0.5072
Tm4 0.6835 0.6835 0.4928
Sn1 0.9373 0.9373 0.0000
Se1 0.4372 0.4372 0.0000
S1 0.1871 0.6871 0.5000
S2 0.6871 0.1871 0.5000

Computed, not measured: crystalline USnSe2S at its relaxed geometry at the PBE level of DFT.

Results
The space group is Cmcm. The energy relative to the elements, uncorrected is -0.848 eV per atom.

Lattice parameters (Å, degrees): 4.1347 7.0618 10.0366 90.00 90.00 107.02
Site moments in Bohr magnetons follow the coordinates.
Fractional positions:
U1 0.0000 0.0000 0.5000  2.08
U2 0.0000 0.0000 0.0000  2.08
Sn1 0.2906 0.5812 0.7500  0.00
Sn2 0.7094 0.4188 0.2500  0.00
Se1 0.6369 0.2737 0.5518  -0.06
Se2 0.3631 0.7263 0.4482  -0.06
Se3 0.3631 0.7263 0.0518  -0.06
Se4 0.6369 0.2737 0.9482  -0.06
S1 0.9236 0.8472 0.7500  -0.04
S2 0.0764 0.1528 0.2500  -0.04